(1)
## Ba6P2Au3I (PBE)

Data for an optimized crystal structure of Ba6P2Au3I.

abc: 10.656 10.656 9.833
angles: 102.99 102.99 25.56
Positions (direct):
1 Ba 0.013 0.013 0.275
2 Ba 0.322 0.322 0.888
3 Ba 0.329 0.329 0.437
4 Ba 0.671 0.671 0.563
5 Ba 0.678 0.678 0.112
6 Ba 0.987 0.987 0.725
7 P 0.168 0.168 0.328
8 P 0.832 0.832 0.672
9 Au 0.157 0.157 0.833
10 Au 0.500 0.500 0.500
11 Au 0.843 0.843 0.167
12 I 0.500 0.500 0.000

Final energy in Ry/atom: -0.275
Uncorrected formation energy in meV/atom: -929

---

(2)
## Ba4PAuI2 (PBE)

Data for an optimized crystal structure of Ba4PAuI2.

abc: 8.398 4.740 8.878
angles: 90.00 106.79 90.00
Positions (direct):
1 Ba 0.225 0.000 0.200
2 Ba 0.254 0.500 0.791
3 Ba 0.746 0.500 0.209
4 Ba 0.775 0.000 0.800
5 P 0.000 0.500 0.000
6 Au 0.500 0.000 0.000
7 I 0.000 0.000 0.500
8 I 0.500 0.500 0.500

Final energy in Ry/atom: -0.267
Uncorrected formation energy in meV/atom: -1201

---

(3)
## Ba8PbAu3I4 (PBE)

Data for an optimized crystal structure of Ba8PbAu3I4.

abc: 10.467 10.467 10.467
angles: 54.82 54.82 54.82
Positions (direct):
1 Ba 0.230 0.743 0.743
2 Ba 0.236 0.236 0.236
3 Ba 0.257 0.257 0.770
4 Ba 0.257 0.770 0.257
5 Ba 0.743 0.230 0.743
6 Ba 0.743 0.743 0.230
7 Ba 0.764 0.764 0.764
8 Ba 0.770 0.257 0.257
9 Pb 0.500 0.500 0.500
10 Au 0.000 0.000 0.500
11 Au 0.000 0.500 0.000
12 Au 0.500 0.000 0.000
13 I 0.000 0.000 0.000
14 I 0.000 0.500 0.500
15 I 0.500 0.000 0.500
16 I 0.500 0.500 0.000

Final energy in Ry/atom: -0.237
Uncorrected formation energy in meV/atom: -1036

---

(4)
## Ba6PbAu2I3 (PBE)

Data for an optimized crystal structure of Ba6PbAu2I3.

abc: 11.521 11.521 10.492
angles: 108.92 108.92 24.20
Positions (direct):
1 Ba 0.009 0.009 0.243
2 Ba 0.322 0.322 0.442
3 Ba 0.337 0.337 0.892
4 Ba 0.663 0.663 0.108
5 Ba 0.678 0.678 0.558
6 Ba 0.991 0.991 0.757
7 Pb 0.500 0.500 0.000
8 Au 0.168 0.168 0.334
9 Au 0.832 0.832 0.666
10 I 0.165 0.165 0.835
11 I 0.500 0.500 0.500
12 I 0.835 0.835 0.165

Final energy in Ry/atom: -0.238
Uncorrected formation energy in meV/atom: -1031

---

(5)
## Ba4PbAuI2 (PBE)

Data for an optimized crystal structure of Ba4PbAuI2.

abc: 8.331 5.034 9.212
angles: 90.00 108.45 90.00
Positions (direct):
1 Ba 0.235 0.000 0.217
2 Ba 0.257 0.500 0.780
3 Ba 0.743 0.500 0.220
4 Ba 0.765 0.000 0.783
5 Pb 0.500 0.000 0.000
6 Au 0.000 0.500 0.000
7 I 0.000 0.000 0.500
8 I 0.500 0.500 0.500

Final energy in Ry/atom: -0.238
Uncorrected formation energy in meV/atom: -1014

---

(6)
## Ba4PdAuI2 (PBE)

Data for an optimized crystal structure of Ba4PdAuI2.

abc: 8.138 4.700 9.237
angles: 90.00 107.08 90.00
Positions (direct):
1 Ba 0.229 0.000 0.204
2 Ba 0.259 0.500 0.793
3 Ba 0.741 0.500 0.207
4 Ba 0.771 0.000 0.796
5 Pd 0.000 0.500 0.000
6 Au 0.500 0.000 0.000
7 I 0.000 0.000 0.500
8 I 0.500 0.500 0.500

Final energy in Ry/atom: -0.253
Uncorrected formation energy in meV/atom: -1030

---

(7)
## Ba8Pd3AuI4 (PBE)

Data for an optimized crystal structure of Ba8Pd3AuI4.

abc: 9.327 9.327 10.376
angles: 116.70 116.70 60.00
Positions (direct):
1 Ba 0.231 0.738 0.705
2 Ba 0.234 0.234 0.702
3 Ba 0.261 0.261 0.295
4 Ba 0.262 0.769 0.295
5 Ba 0.738 0.231 0.705
6 Ba 0.739 0.739 0.705
7 Ba 0.766 0.766 0.298
8 Ba 0.769 0.262 0.295
9 Pd 0.000 0.000 0.500
10 Pd 0.000 0.500 0.500
11 Pd 0.500 0.000 0.500
12 Au 0.500 0.500 0.500
13 I 0.000 0.000 0.000
14 I 0.000 0.500 0.000
15 I 0.500 0.000 0.000
16 I 0.500 0.500 0.000

Final energy in Ry/atom: -0.264
Uncorrected formation energy in meV/atom: -1059

---

(8)
## Ba6PdAu2I3 (PBE)

Data for an optimized crystal structure of Ba6PdAu2I3.

abc: 8.162 8.162 9.256
angles: 98.45 98.45 120.00
Positions (direct):
1 Ba 0.069 0.393 0.206
2 Ba 0.255 0.255 0.793
3 Ba 0.393 0.069 0.206
4 Ba 0.607 0.931 0.794
5 Ba 0.745 0.745 0.207
6 Ba 0.931 0.607 0.794
7 Pd 0.000 0.000 0.000
8 Au 0.334 0.666 0.000
9 Au 0.666 0.334 0.000
10 I 0.168 0.832 0.500
11 I 0.500 0.500 0.500
12 I 0.832 0.168 0.500

Final energy in Ry/atom: -0.248
Uncorrected formation energy in meV/atom: -1047

---

(9)
## Ba6Pd2AuI3 (PBE)

Data for an optimized crystal structure of Ba6Pd2AuI3.

abc: 8.114 8.114 9.222
angles: 98.44 98.44 120.01
Positions (direct):
1 Ba 0.089 0.432 0.795
2 Ba 0.226 0.226 0.205
3 Ba 0.432 0.089 0.795
4 Ba 0.568 0.911 0.205
5 Ba 0.774 0.774 0.795
6 Ba 0.911 0.568 0.205
7 Pd 0.167 0.833 0.000
8 Pd 0.833 0.167 0.000
9 Au 0.500 0.500 0.000
10 I 0.000 0.000 0.500
11 I 0.334 0.666 0.500
12 I 0.666 0.334 0.500

Final energy in Ry/atom: -0.258
Uncorrected formation energy in meV/atom: -1018

---

(10)
## Ba4PtAu2I (PBE)

Data for an optimized crystal structure of Ba4PtAu2I.

abc: 8.162 4.684 8.739
angles: 90.00 107.96 90.00
Positions (direct):
1 Ba 0.240 0.000 0.220
2 Ba 0.258 0.500 0.785
3 Ba 0.742 0.500 0.215
4 Ba 0.760 0.000 0.780
5 Pt 0.000 0.500 0.000
6 Au 0.500 0.000 0.000
7 Au 0.500 0.500 0.500
8 I 0.000 0.000 0.500

Final energy in Ry/atom: -0.264
Uncorrected formation energy in meV/atom: -866

---

(11)
## Ba6PtAu2I3 (PBE)

Data for an optimized crystal structure of Ba6PtAu2I3.

abc: 8.158 8.158 9.224
angles: 98.48 98.48 119.99
Positions (direct):
1 Ba 0.068 0.388 0.205
2 Ba 0.251 0.251 0.794
3 Ba 0.388 0.068 0.205
4 Ba 0.612 0.932 0.795
5 Ba 0.749 0.749 0.206
6 Ba 0.932 0.612 0.795
7 Pt 0.000 0.000 0.000
8 Au 0.334 0.666 0.000
9 Au 0.666 0.334 0.000
10 I 0.168 0.832 0.500
11 I 0.500 0.500 0.500
12 I 0.832 0.168 0.500

Final energy in Ry/atom: -0.257
Uncorrected formation energy in meV/atom: -1103

---

(12)
## Ba6PtAu2I (PBE)

Data for an optimized crystal structure of Ba6PtAu2I.

abc: 9.261 9.261 9.261
angles: 52.81 52.81 52.81
Positions (direct):
1 Ba 0.011 0.328 0.661
2 Ba 0.200 0.867 0.473
3 Ba 0.328 0.661 0.011
4 Ba 0.473 0.200 0.867
5 Ba 0.661 0.011 0.328
6 Ba 0.867 0.473 0.200
7 Pt 0.262 0.262 0.262
8 Au 0.083 0.083 0.083
9 Au 0.589 0.589 0.589
10 I 0.766 0.766 0.766

Final energy in Ry/atom: -0.243
Uncorrected formation energy in meV/atom: -743